Entry 1:
VASP calculation (PBE) on a relaxed structure of K4BiSbAu2.

Values from the calculation:
uncorrected energy: -2.869 eV/atom

abc: 6.680 6.684 6.684
angles: 106.73 90.00 90.00
Fractional positions:
Au1 0.247 0.494 0.494
Au2 0.753 0.494 0.494
Bi1 0.500 0.771 0.771
K1 0.500 0.342 0.000
K2 0.000 0.661 0.009
K3 0.500 0.000 0.342
K4 0.000 0.009 0.661
Sb1 0.000 0.229 0.229


Entry 2:
VASP calculation (PBE) on a relaxed structure of GaTe2Pt3.

Values from the calculation:
uncorrected energy: -4.914 eV/atom

abc: 4.205 4.205 16.899
angles: 90.00 90.00 120.00
Fractional positions:
Ga1 0.667 0.333 0.250
Ga2 0.333 0.667 0.750
Pt1 0.000 0.000 0.153
Pt2 0.333 0.667 0.250
Pt3 0.000 0.000 0.347
Pt4 0.000 0.000 0.653
Pt5 0.667 0.333 0.750
Pt6 0.000 0.000 0.847
Te1 0.333 0.667 0.082
Te2 0.333 0.667 0.418
Te3 0.667 0.333 0.582
Te4 0.667 0.333 0.918


Entry 3:
VASP calculation (PBE) on a relaxed structure of TbTe3PdPb.

Values from the calculation:
relative energy among the computed polymorphs: 0.027 eV per atom

abc: 8.478 4.225 10.703
angles: 90.00 107.38 90.00
Fractional positions:
Pb1 0.759 0.250 0.210
Pb2 0.241 0.750 0.790
Pd1 0.090 0.750 0.095
Pd2 0.910 0.250 0.905
Tb1 0.304 0.250 0.328
Tb2 0.696 0.750 0.672
Te1 0.254 0.250 0.034
Te2 0.049 0.750 0.343
Te3 0.582 0.750 0.364
Te4 0.418 0.250 0.636
Te5 0.951 0.250 0.657
Te6 0.746 0.750 0.966


Entry 4:
VASP calculation (PBE) on a relaxed structure of CoSb3.

Values from the calculation:
relative energy among the computed polymorphs: 0.325 eV per atom

abc: 8.143 8.143 3.376
angles: 90.00 90.00 120.00
Fractional positions:
Co1 0.667 0.333 0.250
Co2 0.333 0.667 0.750
Sb1 0.196 0.391 0.250
Sb2 0.196 0.804 0.250
Sb3 0.609 0.804 0.250
Sb4 0.391 0.196 0.750
Sb5 0.804 0.196 0.750
Sb6 0.804 0.609 0.750